[1]
NaY2Tc | GGA-PBE | optimized geometry

## Properties
DOS at the Fermi energy, states/eV per atom: 0.54
Energy above the most stable polymorph in this dataset, eV/atom: 0.206
Formation energy, meV/atom: 226

a = 5.082 Å, b = 5.082 Å, c = 5.082 Å
α = 60.00°, β = 60.00°, γ = 60.00°
Element x y z (fractional)
Na: 0.000 0.000 0.000
Y: 0.250 0.250 0.250
Y: 0.750 0.750 0.750
Tc: 0.500 0.500 0.500

=====

[2]
AcIn12Pd4 | GGA-PBE | optimized geometry

## Properties
DOS at the Fermi energy, states/eV per atom: 0.65
Formation energy, meV/atom: -225

a = 8.348 Å, b = 8.348 Å, c = 8.348 Å
α = 109.47°, β = 109.47°, γ = 109.47°
Element x y z (fractional)
Ac: 0.000 0.000 0.000
In: 0.163 0.503 0.341
In: 0.163 0.822 0.659
In: 0.178 0.341 0.837
In: 0.341 0.163 0.503
In: 0.341 0.837 0.178
In: 0.497 0.659 0.837
In: 0.503 0.341 0.163
In: 0.659 0.163 0.822
In: 0.659 0.837 0.497
In: 0.822 0.659 0.163
In: 0.837 0.178 0.341
In: 0.837 0.497 0.659
Pd: 0.000 0.000 0.500
Pd: 0.000 0.500 0.000
Pd: 0.500 0.000 0.000
Pd: 0.500 0.500 0.500

=====

[3]
SiRuBr2 | GGA-PBE | optimized geometry

## Properties
DOS at the Fermi energy, states/eV per atom: 0.81
Energy above the most stable polymorph in this dataset, eV/atom: 1.033
Energy relative to the elements, uncorrected, kJ/mol of formula units: 365

a = 5.070 Å, b = 5.070 Å, c = 5.070 Å
α = 127.94°, β = 127.94°, γ = 76.72°
Element x y z (fractional)
Si: 0.000 0.000 0.000
Ru: 0.750 0.250 0.500
Br: 0.250 0.750 0.500
Br: 0.500 0.500 0.000

=====

[4]
NdErFe | GGA-PBE | optimized geometry

## Properties
DOS at the Fermi energy, states/eV per atom: 0.73
Energy above the most stable polymorph in this dataset, eV/atom: 0.057
Formation energy, meV/atom: 116

a = 6.906 Å, b = 6.906 Å, c = 6.906 Å
α = 151.68°, β = 151.68°, γ = 40.47°
Element x y z (fractional)
Nd: 0.000 0.000 0.000
Er: 0.749 0.749 0.000
Fe: 0.368 0.368 0.000

=====

[5]
LiLaTh | GGA-PBE | optimized geometry

## Properties
DOS at the Fermi energy, states/eV per atom: 1.37
Energy above the most stable polymorph in this dataset, eV/atom: 0.000
Formation energy, meV/atom: 27

a = 3.614 Å, b = 3.614 Å, c = 13.635 Å
α = 90.00°, β = 90.00°, γ = 90.00°
Element x y z (fractional)
Li: 0.250 0.250 0.050
Li: 0.750 0.750 0.950
La: 0.250 0.250 0.771
La: 0.750 0.750 0.229
Th: 0.250 0.250 0.413
Th: 0.750 0.750 0.587

=====

[6]
AcPm3Au | GGA-PBE | optimized geometry

## Properties
DOS at the Fermi energy, states/eV per atom: 1.23
Formation energy, meV/atom: -154

a = 7.967 Å, b = 7.967 Å, c = 6.400 Å
α = 90.00°, β = 90.00°, γ = 120.00°
Element x y z (fractional)
Ac: 0.333 0.667 0.250
Ac: 0.667 0.333 0.750
Pm: 0.184 0.368 0.750
Pm: 0.184 0.816 0.750
Pm: 0.368 0.184 0.250
Pm: 0.632 0.816 0.750
Pm: 0.816 0.184 0.250
Pm: 0.816 0.632 0.250
Au: 0.000 0.000 0.000
Au: 0.000 0.000 0.500

=====

[7]
Tl2CdHg4Au2 | GGA-PBE | optimized geometry

## Properties
DOS at the Fermi energy, states/eV per atom: 0.26
Formation energy, meV/atom: 0

a = 5.562 Å, b = 6.386 Å, c = 7.455 Å
α = 67.37°, β = 79.34°, γ = 76.07°
Element x y z (fractional)
Tl: 0.243 0.349 0.166
Tl: 0.757 0.651 0.834
Cd: 0.000 0.000 0.000
Hg: 0.270 0.881 0.624
Hg: 0.382 0.313 0.732
Hg: 0.618 0.687 0.268
Hg: 0.730 0.119 0.376
Au: 0.104 0.693 0.371
Au: 0.896 0.307 0.629

=====

[8]
PmPuCdSi | GGA-PBE | optimized geometry

## Properties
DOS at the Fermi energy, states/eV per atom: 2.54
Energy relative to the elements, uncorrected, kJ/mol of formula units: -83

a = 5.201 Å, b = 5.201 Å, c = 5.201 Å
α = 60.00°, β = 60.00°, γ = 60.00°
Element x y z (fractional)
Pm: 0.000 0.000 0.000
Pu: 0.500 0.500 0.500
Cd: 0.250 0.250 0.250
Si: 0.750 0.750 0.750

=====

[9]
CePmTh2 | GGA-PBE | optimized geometry

## Properties
DOS at the Fermi energy, states/eV per atom: 1.56
Energy above the most stable polymorph in this dataset, eV/atom: 0.007
Formation energy, meV/atom: 51

a = 11.757 Å, b = 11.757 Å, c = 11.757 Å
α = 17.41°, β = 17.41°, γ = 17.41°
Element x y z (fractional)
Ce: 0.000 0.000 0.000
Pm: 0.831 0.831 0.831
Th: 0.413 0.413 0.413
Th: 0.585 0.585 0.585

=====

[10]
Hf2NpAgO8 | GGA-PBE | optimized geometry

## Properties
DOS at the Fermi energy, states/eV per atom: 0.49
Energy relative to the elements, uncorrected, kJ/mol of formula units: -3038

a = 4.995 Å, b = 4.995 Å, c = 6.563 Å
α = 90.00°, β = 90.00°, γ = 90.52°
Element x y z (fractional)
Hf: 0.000 0.000 0.243
Hf: 0.000 0.000 0.757
Np: 0.500 0.500 0.500
Ag: 0.500 0.500 0.000
O: 0.181 0.181 0.000
O: 0.194 0.194 0.500
O: 0.294 0.706 0.287
O: 0.294 0.706 0.713
O: 0.706 0.294 0.287
O: 0.706 0.294 0.713
O: 0.806 0.806 0.500
O: 0.819 0.819 0.000

=====

[11]
K2In2Hg | GGA-PBE | optimized geometry

## Properties
DOS at the Fermi energy, states/eV per atom: 0.62
Energy above the most stable polymorph in this dataset, eV/atom: 0.165
Formation energy, meV/atom: 29

a = 10.874 Å, b = 10.874 Å, c = 3.312 Å
α = 90.00°, β = 90.00°, γ = 90.00°
Element x y z (fractional)
K: 0.198 0.302 0.000
K: 0.302 0.802 0.000
K: 0.698 0.198 0.000
K: 0.802 0.698 0.000
In: 0.095 0.595 0.500
In: 0.405 0.095 0.500
In: 0.595 0.905 0.500
In: 0.905 0.405 0.500
Hg: 0.000 0.000 0.000
Hg: 0.500 0.500 0.000

=====

[12]
Ac3AgSn3 | GGA-PBE | optimized geometry

## Properties
DOS at the Fermi energy, states/eV per atom: 1.29
Energy above the most stable polymorph in this dataset, eV/atom: 0.314
Formation energy, meV/atom: -336

a = 9.780 Å, b = 9.780 Å, c = 6.714 Å
α = 90.00°, β = 90.00°, γ = 120.00°
Element x y z (fractional)
Ac: 0.065 0.686 0.250
Ac: 0.314 0.379 0.250
Ac: 0.379 0.065 0.750
Ac: 0.621 0.935 0.250
Ac: 0.686 0.621 0.750
Ac: 0.935 0.314 0.750
Ag: 0.333 0.667 0.750
Ag: 0.667 0.333 0.250
Sn: 0.064 0.706 0.750
Sn: 0.294 0.358 0.750
Sn: 0.358 0.064 0.250
Sn: 0.642 0.936 0.750
Sn: 0.706 0.642 0.250
Sn: 0.936 0.294 0.250

=====

[13]
TmPaMo4 | GGA-PBE | optimized geometry

## Properties
DOS at the Fermi energy, states/eV per atom: 0.70
Formation energy, meV/atom: 78

a = 5.494 Å, b = 5.494 Å, c = 5.494 Å
α = 60.00°, β = 60.00°, γ = 60.00°
Element x y z (fractional)
Tm: 0.000 0.000 0.000
Pa: 0.250 0.250 0.250
Mo: 0.126 0.625 0.625
Mo: 0.625 0.126 0.625
Mo: 0.625 0.625 0.126
Mo: 0.625 0.625 0.625

=====

[14]
BaNdSn2 | GGA-PBE | optimized geometry

## Properties
DOS at the Fermi energy, states/eV per atom: 1.18
Formation energy, meV/atom: -469

a = 6.968 Å, b = 6.968 Å, c = 6.968 Å
α = 44.12°, β = 44.12°, γ = 44.12°
Element x y z (fractional)
Ba: 0.000 0.000 0.000
Nd: 0.500 0.500 0.500
Sn: 0.228 0.228 0.228
Sn: 0.772 0.772 0.772

=====

[15]
LiAu2Br8 | GGA-PBE | optimized geometry

## Properties
DOS at the Fermi energy, states/eV per atom: 0.65
Energy relative to the elements, uncorrected, kJ/mol of formula units: -226

a = 7.791 Å, b = 7.791 Å, c = 8.080 Å
α = 97.86°, β = 97.86°, γ = 72.78°
Element x y z (fractional)
Li: 0.000 0.000 0.000
Au: 0.152 0.152 0.655
Au: 0.848 0.848 0.345
Br: 0.144 0.780 0.228
Br: 0.220 0.856 0.772
Br: 0.309 0.309 0.517
Br: 0.448 0.448 0.858
Br: 0.552 0.552 0.142
Br: 0.691 0.691 0.483
Br: 0.780 0.144 0.228
Br: 0.856 0.220 0.772

=====

[16]
Tl2InH | GGA-PBE | optimized geometry

## Properties
DOS at the Fermi energy, states/eV per atom: 0.49
Energy above the most stable polymorph in this dataset, eV/atom: 0.190

a = 7.633 Å, b = 7.633 Å, c = 7.633 Å
α = 135.21°, β = 135.21°, γ = 65.20°
Element x y z (fractional)
Tl: 0.375 0.249 0.374
Tl: 0.751 0.125 0.126
Tl: 0.875 0.001 0.626
Tl: 0.999 0.625 0.874
In: 0.250 0.750 0.500
In: 0.500 0.500 0.000
H: 0.000 0.000 0.000
H: 0.750 0.250 0.500

=====

[17]
AlCl | GGA-PBE | optimized geometry

## Properties
DOS at the Fermi energy, states/eV per atom: 0.09
Energy relative to the elements, uncorrected, kJ/mol of formula units: -82

a = 3.846 Å, b = 19.785 Å, c = 4.962 Å
α = 90.00°, β = 90.00°, γ = 90.00°
Element x y z (fractional)
Al: 0.250 0.016 0.177
Al: 0.250 0.484 0.177
Al: 0.250 0.750 0.008
Al: 0.750 0.250 0.992
Al: 0.750 0.516 0.823
Al: 0.750 0.984 0.823
Cl: 0.250 0.250 0.323
Cl: 0.250 0.571 0.494
Cl: 0.250 0.929 0.494
Cl: 0.750 0.071 0.506
Cl: 0.750 0.429 0.506
Cl: 0.750 0.750 0.677

=====

[18]
LuCd5 | GGA-PBE | optimized geometry

## Properties
DOS at the Fermi energy, states/eV per atom: 0.38
Formation energy, meV/atom: -145

a = 6.905 Å, b = 6.905 Å, c = 4.613 Å
α = 90.00°, β = 90.00°, γ = 141.44°
Element x y z (fractional)
Lu: 0.000 0.000 0.000
Cd: 0.165 0.835 0.500
Cd: 0.327 0.673 0.000
Cd: 0.500 0.500 0.500
Cd: 0.673 0.327 0.000
Cd: 0.835 0.165 0.500

=====

[19]
RbMgV2 | GGA-PBE | optimized geometry

## Properties
DOS at the Fermi energy, states/eV per atom: 2.07
Energy above the most stable polymorph in this dataset, eV/atom: 0.006
Formation energy, meV/atom: 1472

a = 5.314 Å, b = 5.314 Å, c = 5.314 Å
α = 60.00°, β = 60.00°, γ = 60.00°
Element x y z (fractional)
Rb: 0.000 0.000 0.000
Mg: 0.500 0.500 0.500
V: 0.250 0.250 0.250
V: 0.750 0.750 0.750

=====

[20]
Tb2PaN | GGA-PBE | optimized geometry

## Properties
DOS at the Fermi energy, states/eV per atom: 1.13
Energy above the most stable polymorph in this dataset, eV/atom: 0.000
Energy relative to the elements, uncorrected, kJ/mol of formula units: -205

a = 9.626 Å, b = 9.626 Å, c = 9.626 Å
α = 19.93°, β = 19.93°, γ = 19.93°
Element x y z (fractional)
Tb: 0.118 0.118 0.118
Tb: 0.882 0.882 0.882
Pa: 0.000 0.000 0.000
N: 0.500 0.500 0.500

=====

[21]
LaSeCl2 | GGA-PBE | optimized geometry

## Properties
DOS at the Fermi energy, states/eV per atom: 0.98
Energy above the most stable polymorph in this dataset, eV/atom: 0.046
Energy relative to the elements, uncorrected, kJ/mol of formula units: -631

a = 6.063 Å, b = 4.213 Å, c = 7.204 Å
α = 90.00°, β = 114.79°, γ = 90.00°
Element x y z (fractional)
La: 0.000 0.000 0.000
Se: 0.500 0.000 0.000
Cl: 0.141 0.500 0.282
Cl: 0.859 0.500 0.718

=====

[22]
SrSe2Cl2 | GGA-PBE | optimized geometry

## Properties
DOS at the Fermi energy, states/eV per atom: 0.22
Energy relative to the elements, uncorrected, kJ/mol of formula units: -611

a = 12.187 Å, b = 12.187 Å, c = 12.187 Å
α = 162.42°, β = 162.42°, γ = 24.96°
Element x y z (fractional)
Sr: 0.000 0.000 0.000
Se: 0.250 0.750 0.500
Se: 0.750 0.250 0.500
Cl: 0.433 0.433 0.000
Cl: 0.567 0.567 0.000

=====

[23]
Ho3Ga2Au6 | GGA-PBE | optimized geometry

## Properties
DOS at the Fermi energy, states/eV per atom: 0.59
Formation energy, meV/atom: -541

a = 15.276 Å, b = 15.276 Å, c = 15.276 Å
α = 165.06°, β = 165.06°, γ = 21.18°
Element x y z (fractional)
Ho: 0.000 0.000 0.000
Ho: 0.177 0.177 0.000
Ho: 0.823 0.823 0.000
Ga: 0.364 0.364 0.000
Ga: 0.636 0.636 0.000
Au: 0.076 0.576 0.500
Au: 0.276 0.276 0.000
Au: 0.424 0.924 0.500
Au: 0.576 0.076 0.500
Au: 0.724 0.724 0.000
Au: 0.924 0.424 0.500

=====

[24]
Nb2FeRuC | GGA-PBE | optimized geometry

## Properties
DOS at the Fermi energy, states/eV per atom: 1.25
Formation energy, meV/atom: 1929

a = 4.541 Å, b = 4.541 Å, c = 4.283 Å
α = 90.00°, β = 90.00°, γ = 90.00°
Element x y z (fractional)
Nb: 0.000 0.500 0.000
Nb: 0.500 0.000 0.000
Fe: 0.000 0.000 0.000
Ru: 0.000 0.000 0.500
C: 0.500 0.500 0.500

=====

[25]
Nb2BiCBr | GGA-PBE | optimized geometry

## Properties
DOS at the Fermi energy, states/eV per atom: 0.85
Energy relative to the elements, uncorrected, kJ/mol of formula units: 842

a = 5.004 Å, b = 5.004 Å, c = 3.874 Å
α = 90.00°, β = 90.00°, γ = 90.00°
Element x y z (fractional)
Nb: 0.000 0.500 0.000
Nb: 0.500 0.000 0.000
Bi: 0.000 0.000 0.500
C: 0.500 0.500 0.500
Br: 0.500 0.500 0.000

=====

[26]
ScInAsSe2 | GGA-PBE | optimized geometry

## Properties
DOS at the Fermi energy, states/eV per atom: 0.67
Energy above the most stable polymorph in this dataset, eV/atom: 0.561
Energy relative to the elements, uncorrected, kJ/mol of formula units: 104

a = 5.311 Å, b = 5.311 Å, c = 5.222 Å
α = 90.00°, β = 90.00°, γ = 90.00°
Element x y z (fractional)
Sc: 0.000 0.000 0.000
In: 0.500 0.500 0.500
As: 0.500 0.500 0.000
Se: 0.000 0.500 0.500
Se: 0.500 0.000 0.500